ScFe3Rh | Alexandria | PBE | optimized geometry; polymorph energy (0 for the lowest one) = 618 meV/atom; E_tot = -6.386 eV per atom; calculated volume = 16.276 Å³/atom; ΔE_f = 137.84 kJ per mole of atoms; space-group type = Pm-3m (221)
1.0
-1.436 3.437 2.214
-3.594 -2.180 1.053
1.949 -1.488 3.573
Sc Rh Fe
1 1 3
direct
0.000 0.000 0.000 Sc
0.500 0.500 0.500 Rh
0.000 0.500 0.000 Fe
0.000 0.000 0.500 Fe
0.500 0.000 0.000 Fe